Record 1
Computed, not measured: Sm4AlAg2Hg after structural relaxation at the PBE level of DFT.

Computed properties:
- Magnetic moment: 0.000 μB per formula unit
- Energy relative to the elements: -341 meV per atom

Cell lengths 9.1798, 9.1798, 9.1798 Å; angles 33.37, 33.37, 33.37 degrees
Closest atoms and distances in Å follow each position.
Element x y z (fractional)
Sm1 0.1239 0.1239 0.1239  1 Al 3.22, 3 Hg 3.24, 4 Ag 3.25-3.37
Sm2 0.3745 0.3745 0.3745  4 Ag 3.15-3.21, 3 Al 3.23, 1 Hg 3.26
Sm3 0.6255 0.6255 0.6255  4 Ag 3.15-3.21, 3 Al 3.23, 1 Hg 3.26
Sm4 0.8761 0.8761 0.8761  1 Al 3.22, 3 Hg 3.24, 4 Ag 3.25-3.37
Al1 0.0000 0.0000 0.0000  8 Sm 3.22-3.23
Ag1 0.2534 0.2534 0.2534  8 Sm 3.15-3.37
Ag2 0.7466 0.7466 0.7466  8 Sm 3.15-3.37
Hg1 0.5000 0.5000 0.5000  8 Sm 3.24-3.26



Record 2
Computed, not measured: Sm2Al4AgHg3 after structural relaxation at the PBE level of DFT.

Computed properties:
- Magnetic moment: 0.000 μB per formula unit
- Energy relative to the elements: -318 meV per atom

Cell lengths 4.3907, 4.3907, 11.2243 Å; angles 90.00, 90.00, 90.00 degrees
Closest atoms and distances in Å follow each position.
Element x y z (fractional)
Sm1 0.0000 0.5000 0.2462  8 Al 3.36-3.60, 6 Hg 3.36-3.53, 2 Ag 3.53
Sm2 0.5000 0.0000 0.7538  8 Al 3.36-3.60, 6 Hg 3.36-3.53, 2 Ag 3.53
Al1 0.0000 0.0000 0.5000  4 Hg 2.70
Al2 0.0000 0.5000 0.8673  3 Hg 2.55-2.65, 2 Ag 2.65
Al3 0.5000 0.0000 0.1327  3 Hg 2.55-2.65, 2 Ag 2.65
Al4 0.5000 0.5000 0.5000  4 Hg 2.70
Ag1 0.5000 0.5000 0.0000  4 Al 2.65
Hg1 0.0000 0.0000 0.0000  4 Al 2.65
Hg2 0.0000 0.5000 0.6398  5 Al 2.55-2.70
Hg3 0.5000 0.0000 0.3602  5 Al 2.55-2.70



Record 3
Computed, not measured: SmAlAgHg after structural relaxation at the PBE level of DFT.

Computed properties:
- Magnetic moment: 0.000 μB per formula unit
- Energy relative to the elements: -306 meV per atom

Cell lengths 4.9893, 4.9893, 4.9893 Å; angles 60.00, 60.00, 60.00 degrees
Closest atoms and distances in Å follow each position.
Element x y z (fractional)
Sm1 0.0000 0.0000 0.0000  4 Hg 3.06, 4 Ag 3.06
Al1 0.5000 0.5000 0.5000  4 Hg 3.06, 4 Ag 3.06
Ag1 0.2500 0.2500 0.2500  4 Al 3.06, 4 Sm 3.06
Hg1 0.7500 0.7500 0.7500  4 Al 3.06, 4 Sm 3.06